# 1
DFT (PBE) results for an optimized crystal structure of Ti2VReB.

Structure (extended XYZ):
```
5
Lattice="4.2632 0.0000 0.0000 0.0000 4.2632 0.0000 0.0000 0.0000 3.9246" Properties=species:S:1:pos:R:3 pbc="T T T"
Ti 0.0000 2.1316 0.0000
Ti 2.1316 0.0000 0.0000
V 0.0000 0.0000 1.9623
Re 2.1316 2.1316 1.9623
B 0.0000 0.0000 0.0000
```

Properties
For the energy of formation from the pure elements, the calculation gives 0.04 eV/atom. The calculation puts the magnetic moment at 0.00 μB per formula unit. As for the density: 8.0 g/cm3.

# 2
DFT (PBE) results for an optimized crystal structure of Ba2MgAu2.

Structure (extended XYZ):
```
10
Lattice="4.6288 0.0000 0.0000 0.0000 4.6288 0.0000 0.0000 0.0000 17.9512" Properties=species:S:1:pos:R:3 pbc="T T T"
Ba 0.0000 0.0000 2.2224
Ba 0.0000 0.0000 15.7288
Ba 2.3144 2.3144 6.7532
Ba 2.3144 2.3144 11.1980
Mg 0.0000 0.0000 8.9756
Mg 2.3144 2.3144 0.0000
Au 0.0000 2.3144 4.4878
Au 0.0000 2.3144 13.4634
Au 2.3144 0.0000 4.4878
Au 2.3144 0.0000 13.4634
```

Properties
For the energy of formation from the pure elements, the calculation gives -0.23 eV/atom. The calculation puts the magnetic moment at 0.00 μB per formula unit. As for the density: 6.0 g/cm3.

# 3
DFT (PBE) results for an optimized crystal structure of PmSi2Pd3.

Structure (extended XYZ):
```
12
Lattice="7.7254 -2.0385 0.0000 7.7254 2.0385 0.0000 -3.1949 0.0000 6.7099" Properties=species:S:1:pos:R:3 pbc="T T T"
Pm 2.1650 0.0000 0.4894
Pm 10.0911 0.0000 6.2205
Si 0.7247 0.0000 4.5050
Si 4.8070 0.0000 5.5751
Si 7.4490 0.0000 1.1348
Si 11.5314 0.0000 2.2049
Pd -0.5192 0.0000 2.3904
Pd 3.0769 0.0000 3.8434
Pd 5.1880 0.0000 2.0316
Pd 7.0680 0.0000 4.6783
Pd 9.1791 0.0000 2.8664
Pd 12.7752 0.0000 4.3194
```

Properties
Its formation energy from raw total energies is -0.839 eV per atom. The calculation puts the magnetic moment at 0.00 μB per formula unit. As for the density: 8.2 g/cm3.

# 4
DFT (PBE) results for an optimized crystal structure of KGaPb.

Structure (extended XYZ):
```
12
Lattice="4.4328 0.0000 0.0000 0.0000 6.2618 0.0000 0.0000 0.0000 15.7454" Properties=species:S:1:pos:R:3 pbc="T T T"
K 0.0000 0.0000 0.0000
K 0.0000 0.0000 4.9914
K 0.0000 3.1309 7.8727
K 0.0000 3.1309 12.8641
Ga 2.2164 1.3377 2.4922
Ga 2.2164 1.7932 10.3649
Ga 2.2164 4.4687 10.3649
Ga 2.2164 4.9241 2.4922
Pb 0.0000 0.0000 10.9372
Pb 0.0000 3.1309 3.0645
Pb 2.2164 0.0000 8.1010
Pb 2.2164 3.1309 0.2283
```

Properties
For the energy of formation from the pure elements, the calculation gives -0.06 eV/atom. The calculation puts the magnetic moment at 0.00 μB per formula unit. As for the density: 4.8 g/cm3.

# 5
DFT (PBE) results for an optimized crystal structure of Ac4CoPb2.

Structure (extended XYZ):
```
14
Lattice="5.3153 0.0000 0.0000 0.0000 5.3153 0.0000 0.0000 0.0000 18.1562" Properties=species:S:1:pos:R:3 pbc="T T T"
Ac 0.0000 0.0000 3.1357
Ac 0.0000 0.0000 15.0205
Ac 0.0000 2.6577 0.0000
Ac 0.0000 2.6577 9.0781
Ac 2.6577 0.0000 0.0000
Ac 2.6577 0.0000 9.0781
Ac 2.6577 2.6577 5.9424
Ac 2.6577 2.6577 12.2138
Co 0.0000 0.0000 0.0000
Co 2.6577 2.6577 9.0781
Pb 0.0000 0.0000 6.5400
Pb 0.0000 0.0000 11.6162
Pb 2.6577 2.6577 2.5381
Pb 2.6577 2.6577 15.6181
```

Properties
For the energy of formation from the pure elements, the calculation gives -0.34 eV/atom. The calculation puts the magnetic moment at 0.00 μB per formula unit. As for the density: 8.9 g/cm3.

# 6
DFT (PBE) results for an optimized crystal structure of Y2ScPb.

Structure (extended XYZ):
```
4
Lattice="3.6000 0.0000 0.0000 0.0000 4.6067 0.0000 0.0000 0.0000 6.7966" Properties=species:S:1:pos:R:3 pbc="T T T"
Y 0.0000 0.0000 0.0000
Y 1.8000 2.3034 1.7739
Sc 1.8000 2.3034 5.1488
Pb 0.0000 0.0000 3.5103
```

Properties
For the energy of formation from the pure elements, the calculation gives -0.19 eV/atom. The calculation puts the magnetic moment at 0.00 μB per formula unit. As for the density: 6.3 g/cm3.

# 7
DFT (PBE) results for an optimized crystal structure of LaGePb.

Structure (extended XYZ):
```
12
Lattice="4.5576 0.0000 0.0000 0.0000 18.2949 0.0000 0.0000 0.0000 4.1273" Properties=species:S:1:pos:R:3 pbc="T T T"
La 0.0000 1.6996 1.0318
La 0.0000 16.5953 3.0955
La 2.2788 7.4479 3.0955
La 2.2788 10.8470 1.0318
Ge 0.0000 8.3295 1.0318
Ge 0.0000 9.9653 3.0955
Ge 2.2788 0.8179 3.0955
Ge 2.2788 17.4770 1.0318
Pb 0.0000 4.9284 3.0955
Pb 0.0000 13.3664 1.0318
Pb 2.2788 4.2190 1.0318
Pb 2.2788 14.0758 3.0955
```

Properties
For the energy of formation from the pure elements, the calculation gives -0.58 eV/atom. The calculation puts the magnetic moment at 0.00 μB per formula unit. As for the density: 8.1 g/cm3.

# 8
DFT (PBE) results for an optimized crystal structure of ZrNi2HIr.

Structure (extended XYZ):
```
5
Lattice="3.8707 0.0000 0.0000 0.0000 3.8707 0.0000 0.0000 0.0000 3.9411" Properties=species:S:1:pos:R:3 pbc="T T T"
Zr 0.0000 0.0000 0.0000
Ni 0.0000 1.9353 1.9705
Ni 1.9353 0.0000 1.9705
H 1.9353 1.9353 1.9705
Ir 1.9353 1.9353 0.0000
```

Properties
Its uncorrected energy is -34.480 eV for the cell shown. The calculation puts the magnetic moment at 0.00 μB per formula unit. As for the density: 11.3 g/cm3.